VASP calculation (GGA-PBE) on a relaxed CsHgS2Cl crystal.

Summary:
* volume: 205 Å³/cell
* ΔE_f (raw): 3.51 eV/f.u.
* energy above the lowest structure with this stoichiometry: 992.1 meV per atom
* magnetic moment: 0.36 μB per atom

a = 5.6436 Å, b = 5.6436 Å, c = 6.4465 Å
α = 90.00°, β = 90.00°, γ = 90.00°
With the nearest neighbours (Å) after each atom.
Space group P4/mmm (No. 123)
Unique sites:
Cs1 0.0000 0.0000 0.0000 [1 per cell]  4 S 2.82
Hg1 0.5000 0.5000 0.5000 [1 per cell]  4 Cl 3.99, 8 S 4.28
S1 0.0000 0.5000 0.0000 [2 per cell]  2 Cs 2.82
Cl1 0.0000 0.0000 0.5000 [1 per cell]  2 Cs 3.22